[1]
# ZnTcSnPd PBE-GGA relaxed
# - Total DFT energy (no corrections): -5.329 eV/atom
# - Volume: 16.01 Å³/atom
# - Calculated formation energy: -0.12 eV per atom
# - Space group: No. 216
data_ZnTcSnPd
_symmetry_space_group_name_H-M 'P 1'
_symmetry_Int_Tables_number 1
_cell_length_a 4.490
_cell_length_b 4.490
_cell_length_c 4.490
_cell_angle_alpha 60.00
_cell_angle_beta 60.00
_cell_angle_gamma 60.00
loop_
_symmetry_equiv_pos_as_xyz
'x,y,z'
loop_
_atom_site_label
_atom_site_type_symbol
_atom_site_fract_x
_atom_site_fract_y
_atom_site_fract_z
Zn1 Zn 0.000 0.000 0.000
Tc1 Tc 0.250 0.250 0.250
Sn1 Sn 0.500 0.500 0.500
Pd1 Pd 0.750 0.750 0.750

[2]
# AcOsC PBE-GGA relaxed
# - Total DFT energy (no corrections): -8.014 eV/atom
# - Volume: 20.05 Å³/atom
# - Calculated formation energy: 0.17 eV per atom
# - Excess energy over the best structure of this formula in the dataset: 0.00 kJ/mol of atoms
# - Space group: No. 12
data_AcOsC
_symmetry_space_group_name_H-M 'P 1'
_symmetry_Int_Tables_number 1
_cell_length_a 6.106
_cell_length_b 6.106
_cell_length_c 6.140
_cell_angle_alpha 107.89
_cell_angle_beta 107.89
_cell_angle_gamma 33.70
loop_
_symmetry_equiv_pos_as_xyz
'x,y,z'
loop_
_atom_site_label
_atom_site_type_symbol
_atom_site_fract_x
_atom_site_fract_y
_atom_site_fract_z
Ac1 Ac 0.098 0.098 0.322
Ac2 Ac 0.902 0.902 0.678
Os1 Os 0.323 0.323 0.139
Os2 Os 0.677 0.677 0.861
C1 C 0.237 0.237 0.776
C2 C 0.763 0.763 0.224

[3]
# SmZn8Ni4 PBE-GGA relaxed
# - Total DFT energy (no corrections): -3.212 eV/atom
# - Volume: 14.48 Å³/atom
# - Calculated formation energy: -0.29 eV per atom
# - Space group: No. 139
data_SmZn8Ni4
_symmetry_space_group_name_H-M 'P 1'
_symmetry_Int_Tables_number 1
_cell_length_a 6.600
_cell_length_b 6.600
_cell_length_c 6.600
_cell_angle_alpha 98.49
_cell_angle_beta 98.49
_cell_angle_gamma 134.82
loop_
_symmetry_equiv_pos_as_xyz
'x,y,z'
loop_
_atom_site_label
_atom_site_type_symbol
_atom_site_fract_x
_atom_site_fract_y
_atom_site_fract_z
Sm1 Sm 0.000 0.000 0.000
Zn1 Zn 0.000 0.343 0.343
Zn2 Zn 0.000 0.657 0.657
Zn3 Zn 0.276 0.500 0.776
Zn4 Zn 0.343 0.000 0.343
Zn5 Zn 0.500 0.276 0.776
Zn6 Zn 0.500 0.724 0.224
Zn7 Zn 0.657 0.000 0.657
Zn8 Zn 0.724 0.500 0.224
Ni1 Ni 0.000 0.000 0.500
Ni2 Ni 0.000 0.500 0.000
Ni3 Ni 0.500 0.000 0.000
Ni4 Ni 0.500 0.500 0.500

Repeat the third record exactly.
# SmZn8Ni4 PBE-GGA relaxed
# - Total DFT energy (no corrections): -3.212 eV/atom
# - Volume: 14.48 Å³/atom
# - Calculated formation energy: -0.29 eV per atom
# - Space group: No. 139
data_SmZn8Ni4
_symmetry_space_group_name_H-M 'P 1'
_symmetry_Int_Tables_number 1
_cell_length_a 6.600
_cell_length_b 6.600
_cell_length_c 6.600
_cell_angle_alpha 98.49
_cell_angle_beta 98.49
_cell_angle_gamma 134.82
loop_
_symmetry_equiv_pos_as_xyz
'x,y,z'
loop_
_atom_site_label
_atom_site_type_symbol
_atom_site_fract_x
_atom_site_fract_y
_atom_site_fract_z
Sm1 Sm 0.000 0.000 0.000
Zn1 Zn 0.000 0.343 0.343
Zn2 Zn 0.000 0.657 0.657
Zn3 Zn 0.276 0.500 0.776
Zn4 Zn 0.343 0.000 0.343
Zn5 Zn 0.500 0.276 0.776
Zn6 Zn 0.500 0.724 0.224
Zn7 Zn 0.657 0.000 0.657
Zn8 Zn 0.724 0.500 0.224
Ni1 Ni 0.000 0.000 0.500
Ni2 Ni 0.000 0.500 0.000
Ni3 Ni 0.500 0.000 0.000
Ni4 Ni 0.500 0.500 0.500

- Which of these has the highest volume?
  AcOsC

- What is the formula in the second record?
  AcOsC

- Among the records above, which one has the highest calculated formation energy?
  AcOsC